[1]
Below is a relaxed structure of Zn2H2Pd5, with properties calculated at the GGA-PBE level.

a b c (Å): 5.512 15.604 5.513
angles (deg): 90.00 90.00 90.00
Space group Imma (No. 74)
Symmetry-distinct sites (fractional):
Zn1 0.000 0.126 0.015
H1 0.000 0.000 0.500
H2 0.000 0.250 0.493
Pd1 0.000 0.134 0.543
Pd2 0.250 0.005 0.250
Pd3 0.250 0.250 0.250

Properties
total DFT energy (no corrections) = -150.45 eV for the cell shown
M_tot = 0.0 μB/cell
density = 9.315 g/cm³



[2]
Below is a relaxed structure of SmLuTh2, with properties calculated at the GGA-PBE level.

a b c (Å): 7.993 7.993 7.993
angles (deg): 90.00 90.00 90.00
Space group Fm-3m (No. 225)
Symmetry-distinct sites (fractional):
Sm1 0.000 0.000 0.000
Lu1 0.000 0.000 0.500
Th1 0.250 0.250 0.250

Properties
ΔE_f = 0.6 eV/f.u.
total DFT energy (no corrections) = -93.81 eV for the cell shown
M_tot = 0.0 μB/cell
density = 10.270 g/cm³
energy above the lowest structure with this stoichiometry = 0.1032 eV per atom



[3]
Below is a relaxed structure of ZrCu2PdRu, with properties calculated at the GGA-PBE level.

a b c (Å): 4.810 4.810 4.620
angles (deg): 90.00 90.00 90.00
Space group P4/mmm (No. 123)
Symmetry-distinct sites (fractional):
Zr1 0.000 0.000 0.000
Cu1 0.000 0.500 0.000
Pd1 0.500 0.500 0.500
Ru1 0.000 0.000 0.500

Properties
ΔE_f = 6.9 eV/f.u.
total DFT energy (no corrections) = -24.26 eV for the cell shown
M_tot = 0.0 μB/cell
density = 6.614 g/cm³



[4]
Below is a relaxed structure of Nb2PdPt7, with properties calculated at the GGA-PBE level.

a b c (Å): 7.234 13.916 3.961
angles (deg): 90.00 90.00 90.00
Space group Cmmm (No. 65)
Symmetry-distinct sites (fractional):
Nb1 0.000 0.195 0.000
Pd1 0.000 0.500 0.500
Pt1 0.000 0.000 0.000
Pt2 0.000 0.307 0.500
Pt3 0.193 0.396 0.000

Properties
ΔE_f = 0.8 eV/f.u.
total DFT energy (no corrections) = -133.57 eV for the cell shown
M_tot = 0.0 μB/cell
density = 13.806 g/cm³



[5]
Below is a relaxed structure of YHg3Pd4, with properties calculated at the GGA-PBE level.

a b c (Å): 9.545 6.564 4.802
angles (deg): 90.00 90.00 90.00
Space group Pmma (No. 51)
Symmetry-distinct sites (fractional):
Y1 0.000 0.000 0.000
Hg1 0.000 0.500 0.000
Hg2 0.250 0.000 0.461
Hg3 0.250 0.500 0.450
Pd1 0.000 0.257 0.500
Pd2 0.250 0.260 0.944

Properties
ΔE_f = -3.4 eV/f.u.
total DFT energy (no corrections) = -63.02 eV for the cell shown
M_tot = 0.0 μB/cell
density = 12.324 g/cm³



[6]
Below is a relaxed structure of Be2FeAg, with properties calculated at the GGA-PBE level.

a b c (Å): 2.774 2.785 5.603
angles (deg): 90.00 90.00 90.00
Space group Pmmm (No. 47)
Symmetry-distinct sites (fractional):
Be1 0.000 0.000 0.193
Fe1 0.500 0.500 0.000
Ag1 0.500 0.500 0.500

Properties
ΔE_f = 0.0 eV/f.u.
total DFT energy (no corrections) = -18.76 eV for the cell shown
M_tot = 0.6 μB/cell
density = 6.971 g/cm³
energy above the lowest structure with this stoichiometry = 0.0000 eV per atom